This record from Alexandria describes an optimized crystal structure of ZnAs2Cl. The functional is PBE-GGA.

Lattice parameters (Å, degrees): 3.4979 3.4979 8.7067 90.00 90.00 90.00
Last column: nearest neighbours and their distance in Å.
Element x y z (fractional)
Cl (0.0000, 0.0000, 0.6264)  4 Zn 2.66
As (0.5000, 0.5000, 0.0175)  1 Zn 2.44, 4 As 2.62
As (0.0000, 0.0000, 0.1182)  4 As 2.62
Zn (0.5000, 0.5000, 0.7378)  1 As 2.44, 4 Cl 2.66

Results
Fermi-level density of states: 1.503 states/eV/f.u.
E_form (uncorrected): -4.04 kcal/mol of atoms
excess energy over the best structure of this formula in the dataset: 97.7 meV per atom
symmetry: P4mm